Computed, not measured: a geometry-optimized Ca2Hg2MoO6 structure at the GGA+U level of DFT.

Computed properties:
* total energy: -59.8 eV per cell
* magnetization: 0.00 μB per formula unit
* crystal system: monoclinic

Cell: 5.8574 5.8574 6.7097 Å, 86.63 86.63 120.82°
Element x y z (fractional)
O 0.6986 0.6986 0.6517
O 0.9733 0.2595 0.6639
O 0.2595 0.9733 0.6639
O 0.7405 0.0267 0.3361
O 0.0267 0.7405 0.3361
Hg 0.1941 0.8059 0.0000
Ca 0.3362 0.6638 0.5000
O 0.3014 0.3014 0.3483
Mo 0.0000 0.0000 0.5000
Ca 0.6638 0.3362 0.5000
Hg 0.8059 0.1941 0.0000